A plane-wave DFT calculation with GGA-PBEsol was carried out for crystalline CdIn2Co at its relaxed geometry.

DFT formation energy = 38 meV per atom
Space-group type = Imm2
Final energy = -3.69 eV per atom
N(E_F) = 0.660 states/eV per atom

Unit cell a=6.8418 b=6.8418 c=6.8418 alpha=155.87 beta=143.29 gamma=44.42
Sites, in units of the cell vectors:
Cd (0.0000, 0.0000, 0.0000)
In (0.3609, 0.3609, 0.0000)
In (0.6748, 0.1748, 0.5000)
Co (0.1843, 0.6843, 0.5000)